3
Lattice="5.749 0.000 0.000 -2.874 4.979 0.000 0.000 0.000 3.534" Properties=species:S:1:pos:R:3 comment="TbPmNd (PBE, optimized geometry)" total_energy_ev_per_atom=-4.655 delta_e_f_kj_per_mol_fu=18 magnetic_moment_mub_per_cell=0.00 pbc="T T T"
Tb 0.000 0.000 0.000
Pm 2.874 1.660 0.000
Nd 0.000 3.319 1.767